Record 1
# GdHoNb2Sn2

Crystalline GdHoNb2Sn2 at its relaxed geometry (PBE-GGA, OQMD via LeMat-Bulk).

a = 4.197 Å, b = 4.197 Å, c = 8.188 Å
α = 90.00°, β = 90.00°, γ = 90.00°
Space group P4mm (No. 99)
Symmetry-distinct sites (fractional):
1 Gd 0.000 0.000 0.000
2 Ho 0.500 0.500 0.704
3 Nb 0.000 0.500 0.354
4 Sn 0.000 0.000 0.606
5 Sn 0.500 0.500 0.103



Record 2
# PaCuOs

Crystalline PaCuOs at its relaxed geometry (PBE-GGA, OQMD via LeMat-Bulk).

Energy above the lowest structure with this stoichiometry in meV per atom: 344
E_form in meV per atom: 526

a = 6.360 Å, b = 6.360 Å, c = 6.360 Å
α = 90.00°, β = 90.00°, γ = 90.00°
Space group F-43m (No. 216)
Symmetry-distinct sites (fractional):
1 Pa 0.000 0.000 0.000
2 Cu 0.250 0.250 0.750
3 Os 0.250 0.250 0.250



Record 3
# HfNiBiOs

Crystalline HfNiBiOs at its relaxed geometry (PBE-GGA, OQMD via LeMat-Bulk).

a = 6.599 Å, b = 6.599 Å, c = 6.599 Å
α = 90.00°, β = 90.00°, γ = 90.00°
Space group F-43m (No. 216)
Symmetry-distinct sites (fractional):
1 Hf 0.000 0.000 0.000
2 Ni 0.000 0.000 0.500
3 Bi 0.250 0.250 0.250
4 Os 0.250 0.250 0.750



Record 4
# HoGa3P

Crystalline HoGa3P at its relaxed geometry (PBE-GGA, OQMD via LeMat-Bulk).

a = 4.766 Å, b = 4.766 Å, c = 4.766 Å
α = 90.00°, β = 90.00°, γ = 90.00°
Space group Pm-3m (No. 221)
Symmetry-distinct sites (fractional):
1 Ho 0.000 0.000 0.000
2 Ga 0.000 0.500 0.500
3 P 0.500 0.500 0.500



Record 5
# RbLiTcIr

Crystalline RbLiTcIr at its relaxed geometry (PBE-GGA, OQMD via LeMat-Bulk).

Energy above the lowest structure with this stoichiometry in meV per atom: 121

a = 6.786 Å, b = 6.786 Å, c = 6.786 Å
α = 90.00°, β = 90.00°, γ = 90.00°
Space group F-43m (No. 216)
Symmetry-distinct sites (fractional):
1 Rb 0.000 0.000 0.000
2 Li 0.250 0.250 0.750
3 Tc 0.000 0.000 0.500
4 Ir 0.250 0.250 0.250



Record 6
# Zr4ZnC2S

Crystalline Zr4ZnC2S at its relaxed geometry (PBE-GGA, OQMD via LeMat-Bulk).

a = 3.3794 Å, b = 3.3794 Å, c = 13.3060 Å
α = 90.00°, β = 90.00°, γ = 120.00°
Space group P-6m2 (No. 187)
Symmetry-distinct sites (fractional):
1 Zr 0.0000 0.0000 0.1380
2 Zr 0.3333 0.6667 0.3268
3 Zn 0.0000 0.0000 0.5000
4 C 0.6667 0.3333 0.2338
5 S 0.3333 0.6667 0.0000



| no. | raw total energy (eV per atom) | spin magnetization (μB per formula unit) |
| --- | --- | --- |
| 1 | -6.673 | 1.104 |
| 2 | -7.620 | 0.000 |
| 3 | -7.287 | 0.017 |
| 4 | -3.702 | 0.000 |
| 5 | -4.305 | 3.491 |
| 6 | -8.174 | 0.208 |